1.
{
  "formula": "La6Si2SI3",
  "functional": "GGA-PBE",
  "state": "optimized geometry",
  "magnetic_moment_mub_per_cell": 0.00,
  "e_tot_ev_per_atom": -5.339,
  "formation_energy_uncorrected_ev_per_atom": -1.24,
  "cell": [[3.7656, -6.5231, 0.0000], [3.7656, 6.5231, 0.0000], [-2.5123, 0.0000, 7.8632]],
  "species": ["La", "La", "La", "La", "La", "La", "Si", "Si", "S", "I", "I", "I"],
  "frac_coords": [[0.0651, 0.3964, 0.1961], [0.2651, 0.2651, 0.8032], [0.3964, 0.0651, 0.1961], [0.6036, 0.9349, 0.8039], [0.7349, 0.7349, 0.1968], [0.9349, 0.6036, 0.8039], [0.3337, 0.6663, 0.0000], [0.6663, 0.3337, 0.0000], [0.0000, 0.0000, 0.0000], [0.1691, 0.8309, 0.5000], [0.5000, 0.5000, 0.5000], [0.8309, 0.1691, 0.5000]]
}

***

2.
{
  "formula": "La8Si3SI4",
  "functional": "GGA-PBE",
  "state": "optimized geometry",
  "magnetic_moment_mub_per_cell": 0.00,
  "e_tot_ev_per_atom": -5.308,
  "formation_energy_uncorrected_ev_per_atom": -1.18,
  "cell": [[4.3672, 2.5214, 7.8596], [-4.3672, 2.5214, 7.8596], [0.0000, -5.0428, 7.8596]],
  "species": ["La", "La", "La", "La", "La", "La", "La", "La", "Si", "Si", "Si", "S", "I", "I", "I", "I"],
  "frac_coords": [[0.2336, 0.2336, 0.2336], [0.2346, 0.7310, 0.7310], [0.2690, 0.2690, 0.7654], [0.2690, 0.7654, 0.2690], [0.7310, 0.2346, 0.7310], [0.7310, 0.7310, 0.2346], [0.7654, 0.2690, 0.2690], [0.7664, 0.7664, 0.7664], [0.0000, 0.0000, 0.5000], [0.0000, 0.5000, 0.0000], [0.5000, 0.0000, 0.0000], [0.5000, 0.5000, 0.5000], [0.0000, 0.0000, 0.0000], [0.0000, 0.5000, 0.5000], [0.5000, 0.0000, 0.5000], [0.5000, 0.5000, 0.0000]]
}

***

3.
{
  "formula": "La4SiSI2",
  "functional": "GGA-PBE",
  "state": "optimized geometry",
  "magnetic_moment_mub_per_cell": 0.00,
  "e_tot_ev_per_atom": -5.382,
  "formation_energy_uncorrected_ev_per_atom": -1.34,
  "cell": [[7.4373, 0.0000, 0.0000], [0.0000, 4.3564, 0.0000], [-2.5472, 0.0000, 7.8136]],
  "species": ["La", "La", "La", "La", "Si", "S", "I", "I"],
  "frac_coords": [[0.2260, 0.0000, 0.1930], [0.2618, 0.5000, 0.8033], [0.7382, 0.5000, 0.1967], [0.7740, 0.0000, 0.8070], [0.5000, 0.0000, 0.0000], [0.0000, 0.5000, 0.0000], [0.0000, 0.0000, 0.5000], [0.5000, 0.5000, 0.5000]]
}

***

4.
{
  "formula": "La3Si2S8I",
  "functional": "GGA-PBE",
  "state": "optimized geometry",
  "magnetic_moment_mub_per_cell": 0.00,
  "e_tot_ev_per_atom": -5.848,
  "formation_energy_uncorrected_ev_per_atom": -1.55,
  "cell": [[8.0820, -3.9969, 0.0000], [8.0820, 3.9969, 0.0000], [-1.4250, 0.0000, 10.9116]],
  "species": ["La", "La", "La", "La", "La", "La", "Si", "Si", "Si", "Si", "S", "S", "S", "S", "S", "S", "S", "S", "S", "S", "S", "S", "S", "S", "S", "S", "I", "I"],
  "frac_coords": [[0.0915, 0.9085, 0.7500], [0.1797, 0.4239, 0.3183], [0.4239, 0.1797, 0.8183], [0.5761, 0.8203, 0.1817], [0.8203, 0.5761, 0.6817], [0.9085, 0.0915, 0.2500], [0.1228, 0.1978, 0.0317], [0.1978, 0.1228, 0.5317], [0.8022, 0.8772, 0.4683], [0.8772, 0.8022, 0.9683], [0.0502, 0.2506, 0.8426], [0.0808, 0.7812, 0.4525], [0.0965, 0.6120, 0.8504], [0.2120, 0.3502, 0.5853], [0.2188, 0.9192, 0.0475], [0.2506, 0.0502, 0.3426], [0.3502, 0.2120, 0.0853], [0.3880, 0.9035, 0.6496], [0.6120, 0.0965, 0.3504], [0.6498, 0.7880, 0.9147], [0.7494, 0.9498, 0.6574], [0.7812, 0.0808, 0.9525], [0.7880, 0.6498, 0.4147], [0.9035, 0.3880, 0.1496], [0.9192, 0.2188, 0.5475], [0.9498, 0.7494, 0.1574], [0.4891, 0.5109, 0.2500], [0.5109, 0.4891, 0.7500]]
}